Record 1
Entry from Alexandria via LeMat-Bulk: Ac4Te5I after structural relaxation (GGA-PBE).

Summary:
Space-group type = Pmmn (59)
Mass density = 5.9 g/cm³

Cell: 10.142 11.251 8.190 Å, 90.00 90.00 90.00°
Fractional positions:
Ac 0.038 0.250 0.039
Ac 0.250 0.000 0.514
Ac 0.250 0.500 0.514
Ac 0.462 0.250 0.039
Ac 0.538 0.750 0.961
Ac 0.750 0.000 0.486
Ac 0.750 0.500 0.486
Ac 0.962 0.750 0.961
Te 0.010 0.542 0.240
Te 0.010 0.958 0.240
Te 0.250 0.250 0.338
Te 0.490 0.542 0.240
Te 0.490 0.958 0.240
Te 0.510 0.042 0.760
Te 0.510 0.458 0.760
Te 0.750 0.750 0.662
Te 0.990 0.042 0.760
Te 0.990 0.458 0.760
I 0.250 0.750 0.743
I 0.750 0.250 0.257


Record 2
Entry from Alexandria via LeMat-Bulk: Ba2LiMgAg2 after structural relaxation (GGA-PBE).

Summary:
ΔH_f (0 K) = -1.15 eV/f.u.
Space-group type = Ibam (72)
Mass density = 4.6 g/cm³

Cell: 9.709 9.709 9.709 Å, 139.87 58.40 139.41°
Fractional positions:
Ba 0.167 0.245 0.412
Ba 0.333 0.745 0.078
Ba 0.667 0.255 0.922
Ba 0.833 0.755 0.588
Li 0.250 0.250 0.000
Li 0.750 0.750 0.000
Mg 0.250 0.750 0.500
Mg 0.750 0.250 0.500
Ag 0.100 0.746 0.845
Ag 0.400 0.246 0.646
Ag 0.600 0.754 0.354
Ag 0.900 0.254 0.155


Record 3
Entry from Alexandria via LeMat-Bulk: KNiRu2Rh after structural relaxation (GGA-PBE).

Summary:
ΔH_f (0 K) = 14.92 eV/f.u.
Space-group type = P4/mmm (123)
Mass density = 7.1 g/cm³

Cell: 4.521 4.521 4.616 Å, 90.00 90.00 90.00°
Fractional positions:
K 0.000 0.000 0.000
Ni 0.500 0.500 0.500
Ru 0.000 0.500 0.000
Ru 0.500 0.000 0.000
Rh 0.000 0.000 0.500


Record 4
Entry from Alexandria via LeMat-Bulk: Ce3ZrP4 after structural relaxation (GGA-PBE).

Summary:
ΔH_f (0 K) = -11.73 eV/f.u.
Space-group type = Cmmm (65)
Mass density = 5.9 g/cm³

Cell: 6.907 6.907 3.989 Å, 90.00 90.00 109.31°
Fractional positions:
Ce 0.000 0.000 0.000
Ce 0.000 0.500 0.500
Ce 0.500 0.000 0.500
Zr 0.500 0.500 0.000
P 0.258 0.742 0.000
P 0.264 0.264 0.500
P 0.736 0.736 0.500
P 0.742 0.258 0.000


Record 5
Entry from Alexandria via LeMat-Bulk: SmBeAlCu6 after structural relaxation (GGA-PBE).

Summary:
ΔH_f (0 K) = -0.45 eV/f.u.
Space-group type = Imma (74)
Mass density = 7.0 g/cm³

Cell: 8.197 8.197 8.197 Å, 143.35 123.38 69.36°
Fractional positions:
Sm 0.250 0.000 0.250
Sm 0.750 0.000 0.750
Be 0.500 0.000 0.000
Be 0.500 0.500 0.500
Al 0.000 0.500 0.500
Al 0.500 0.500 0.000
Cu 0.001 0.751 0.250
Cu 0.149 0.402 0.233
Cu 0.149 0.916 0.748
Cu 0.331 0.084 0.733
Cu 0.331 0.598 0.248
Cu 0.364 0.614 0.750
Cu 0.636 0.386 0.250
Cu 0.669 0.402 0.752
Cu 0.669 0.916 0.267
Cu 0.851 0.084 0.252
Cu 0.851 0.598 0.767
Cu 0.999 0.249 0.750


Record 6
Entry from Alexandria via LeMat-Bulk: Pm2GaAg3 after structural relaxation (GGA-PBE).

Summary:
ΔH_f (0 K) = -1.67 eV/f.u.
Space-group type = Imm2 (44)
E above lowest polymorph = 86.4 meV per atom
Mass density = 7.8 g/cm³

Cell: 9.122 9.122 9.122 Å, 155.91 151.90 37.34°
Fractional positions:
Pm 0.000 0.000 0.000
Pm 0.737 0.237 0.500
Ga 0.580 0.580 0.000
Ag 0.156 0.656 0.500
Ag 0.315 0.815 0.500
Ag 0.427 0.427 0.000


Record 7
Entry from Alexandria via LeMat-Bulk: ErPaSN2 after structural relaxation (GGA-PBE).

Summary:
Space-group type = I4mm (107)
Mass density = 8.7 g/cm³

Cell: 6.548 6.548 6.548 Å, 145.90 145.90 48.99°
Fractional positions:
Er 0.000 0.000 0.000
Pa 0.315 0.315 0.000
S 0.658 0.658 0.000
N 0.400 0.900 0.500
N 0.900 0.400 0.500


Record 8
Entry from Alexandria via LeMat-Bulk: Ag3Pd2Au8 after structural relaxation (GGA-PBE).

Summary:
ΔH_f (0 K) = 0.21 eV/f.u.
Space-group type = P2/m (10)
E above lowest polymorph = 0.0 meV per atom
Mass density = 15.0 g/cm³

Cell: 9.410 2.858 9.781 Å, 90.00 117.47 90.00°
Fractional positions:
Ag 0.000 0.000 0.000
Ag 0.073 0.500 0.779
Ag 0.927 0.500 0.221
Pd 0.458 0.000 0.620
Pd 0.542 0.000 0.380
Au 0.169 0.500 0.544
Au 0.226 0.000 0.312
Au 0.323 0.500 0.101
Au 0.366 0.000 0.852
Au 0.634 0.000 0.148
Au 0.677 0.500 0.899
Au 0.774 0.000 0.688
Au 0.831 0.500 0.456


Record 9
Entry from Alexandria via LeMat-Bulk: LiTb2Tl4 after structural relaxation (GGA-PBE).

Summary:
ΔH_f (0 K) = -0.36 eV/f.u.
Space-group type = I4/mmm (139)
E above lowest polymorph = 141.6 meV per atom
Mass density = 9.9 g/cm³

Cell: 8.702 8.702 8.702 Å, 147.35 147.35 46.85°
Fractional positions:
Li 0.000 0.000 0.000
Tb 0.363 0.363 0.000
Tb 0.637 0.637 0.000
Tl 0.000 0.500 0.500
Tl 0.170 0.170 0.000
Tl 0.500 0.000 0.500
Tl 0.830 0.830 0.000


Record 10
Entry from Alexandria via LeMat-Bulk: Nd2MnSi4Ir3 after structural relaxation (GGA-PBE).

Summary:
Space-group type = P-4m2 (115)
Mass density = 9.9 g/cm³

Cell: 4.158 4.158 10.064 Å, 90.00 90.00 90.00°
Fractional positions:
Nd 0.000 0.500 0.246
Nd 0.500 0.000 0.754
Mn 0.000 0.000 0.500
Si 0.000 0.000 0.000
Si 0.000 0.500 0.632
Si 0.500 0.000 0.368
Si 0.500 0.500 0.000
Ir 0.000 0.500 0.875
Ir 0.500 0.000 0.125
Ir 0.500 0.500 0.500


Record 11
Entry from Alexandria via LeMat-Bulk: CdHg2Pb after structural relaxation (GGA-PBE).

Summary:
ΔH_f (0 K) = 0.16 eV/f.u.
Space-group type = P-6m2 (187)
Mass density = 10.9 g/cm³

Cell: 3.339 3.339 11.416 Å, 90.00 90.00 120.00°
Fractional positions:
Cd 0.000 0.000 0.000
Hg 0.333 0.667 0.228
Hg 0.333 0.667 0.772
Pb 0.333 0.667 0.500


Record 12
Entry from Alexandria via LeMat-Bulk: CoSiTc2 after structural relaxation (GGA-PBE).

Summary:
Space-group type = R3m (160)
Mass density = 9.0 g/cm³

Cell: 8.309 8.309 8.309 Å, 18.85 18.85 18.85°
Fractional positions:
Co 0.000 0.000 0.000
Si 0.262 0.262 0.262
Tc 0.509 0.509 0.509
Tc 0.754 0.754 0.754


Short version: calculated total energy = -94.363 -28.412 -17.866 -59.718 -74.421 -22.747 -43.694 -44.949 -21.003 -75.860 -5.063 -33.628 eV for the cell shown, in the order given.